(1)
A plane-wave DFT calculation with PBE was carried out for PaNbRh6 after structural relaxation.

Properties
Space-group type: P4/mmm
Volume, Å³ per cell: 126.22
Formation energy from the elements, eV/atom: -0.689
M_tot, μB/atom: 0.000
N(E_F), states/eV per atom: 0.69

a b c (Å): 3.985 3.985 7.949
angles (deg): 90.00 90.00 90.00
Sites, in units of the cell vectors:
Pa (0.000, 0.000, 0.000)
Nb (0.000, 0.000, 0.500)
Rh (0.500, 0.500, 0.000)
Rh (0.500, 0.500, 0.500)
Rh (0.500, 0.000, 0.260)
Rh (0.500, 0.000, 0.740)
Rh (0.000, 0.500, 0.260)
Rh (0.000, 0.500, 0.740)


(2)
A plane-wave DFT calculation with PBE was carried out for HfUP2Ru5 after structural relaxation.

Properties
Space-group type: P4/mmm
Volume, Å³ per cell: 138.77
Formation energy from the elements, eV/atom: -0.627
M_tot, μB/atom: 0.000
N(E_F), states/eV per atom: 0.53

a b c (Å): 4.057 4.057 8.432
angles (deg): 90.00 90.00 90.00
Sites, in units of the cell vectors:
Hf (0.000, 0.000, 0.000)
U (0.000, 0.000, 0.500)
P (0.500, 0.500, 0.130)
P (0.500, 0.500, 0.870)
Ru (0.000, 0.500, 0.261)
Ru (0.500, 0.000, 0.261)
Ru (0.000, 0.500, 0.739)
Ru (0.500, 0.000, 0.739)
Ru (0.500, 0.500, 0.500)


(3)
A plane-wave DFT calculation with PBE was carried out for HfTa2Mn3 after structural relaxation.

Properties
Space-group type: P4/mmm
Volume, Å³ per cell: 88.68
Formation energy from the elements, eV/atom: -0.221
M_tot, μB/atom: 0.038
N(E_F), states/eV per atom: 0.84

a b c (Å): 3.087 3.087 9.305
angles (deg): 90.00 90.00 90.00
Last column: magnetic moment on the atom in μB.
Sites, in units of the cell vectors:
Hf (0.500, 0.500, 0.500)  -0.03
Ta (0.500, 0.500, 0.835)  -0.04
Ta (0.500, 0.500, 0.165)  -0.04
Mn (0.000, 0.000, 0.000)  0.12
Mn (0.000, 0.000, 0.677)  0.12
Mn (0.000, 0.000, 0.323)  0.12


(4)
A plane-wave DFT calculation with PBE was carried out for CaCe2Si2Au2 after structural relaxation.

Properties
Space-group type: R-3m
Volume, Å³ per cell: 153.78
M_tot, μB/atom: 0.245
N(E_F), states/eV per atom: 1.25
Uncorrected formation energy, meV per atom: -589

a b c (Å): 4.365 4.365 9.656
angles (deg): 76.94 76.94 60.00
Last column: magnetic moment on the atom in μB.
Sites, in units of the cell vectors:
Ca (0.000, 0.000, 0.000)  0.00
Ce (0.140, 0.140, 0.579)  0.74
Ce (0.860, 0.860, 0.421)  0.74
Si (0.744, 0.744, 0.768)  -0.01
Si (0.256, 0.256, 0.232)  -0.01
Au (0.596, 0.596, 0.213)  0.00
Au (0.404, 0.404, 0.787)  0.00


(5)
A plane-wave DFT calculation with PBE was carried out for CsPrAgS3 after structural relaxation.

Properties
Space-group type: Cmcm
Volume, Å³ per cell: 363.25
M_tot, μB/atom: 0.001
N(E_F), states/eV per atom: 1.29
Uncorrected formation energy, meV per atom: -1139

a b c (Å): 4.278 7.916 11.141
angles (deg): 90.00 90.00 105.68
Sites, in units of the cell vectors:
Cs (0.261, 0.523, 0.250)
Cs (0.739, 0.477, 0.750)
Pr (0.000, 0.000, 0.500)
Pr (0.000, 0.000, 0.000)
Ag (0.456, 0.911, 0.750)
Ag (0.544, 0.089, 0.250)
S (0.620, 0.241, 0.051)
S (0.380, 0.759, 0.949)
S (0.380, 0.759, 0.551)
S (0.620, 0.241, 0.449)
S (0.048, 0.095, 0.750)
S (0.952, 0.905, 0.250)


(6)
A plane-wave DFT calculation with PBE was carried out for RbTiMnCl6 after structural relaxation.

Properties
Space-group type: P-31c
Volume, Å³ per cell: 543.87
M_tot, μB/atom: 0.667
N(E_F), states/eV per atom: 0.85
Uncorrected formation energy, meV per atom: -1519

a b c (Å): 6.548 6.548 14.648
angles (deg): 90.00 90.00 120.00
Last column: magnetic moment on the atom in μB.
Sites, in units of the cell vectors:
Rb (0.000, 0.000, 0.000)  0.00
Rb (0.000, 0.000, 0.500)  0.00
Ti (0.667, 0.333, 0.250)  0.93
Ti (0.333, 0.667, 0.750)  0.93
Mn (0.333, 0.667, 0.250)  4.43
Mn (0.667, 0.333, 0.750)  4.43
Cl (0.629, 0.618, 0.154)  0.02
Cl (0.989, 0.371, 0.154)  0.02
Cl (0.371, 0.989, 0.654)  0.02
Cl (0.011, 0.629, 0.846)  0.02
Cl (0.382, 0.371, 0.346)  0.02
Cl (0.989, 0.618, 0.346)  0.02
Cl (0.618, 0.989, 0.846)  0.02
Cl (0.629, 0.011, 0.346)  0.02
Cl (0.011, 0.382, 0.654)  0.02
Cl (0.382, 0.011, 0.154)  0.02
Cl (0.618, 0.629, 0.654)  0.02
Cl (0.371, 0.382, 0.846)  0.02


(7)
A plane-wave DFT calculation with PBE was carried out for Pr8GaIr3I4 after structural relaxation.

Properties
Space-group type: R-3m
Volume, Å³ per cell: 520.37
M_tot, μB/atom: 0.000
N(E_F), states/eV per atom: 0.80
Uncorrected formation energy, meV per atom: -886

a b c (Å): 8.602 9.520 8.602
angles (deg): 116.86 120.00 90.00
Sites, in units of the cell vectors:
Pr (0.236, 0.687, 0.951)
Pr (0.236, 0.687, 0.472)
Pr (0.270, 0.311, 0.541)
Pr (0.715, 0.687, 0.951)
Pr (0.285, 0.313, 0.049)
Pr (0.730, 0.689, 0.459)
Pr (0.764, 0.313, 0.528)
Pr (0.764, 0.313, 0.049)
Ga (0.000, 0.500, 0.000)
Ir (0.500, 0.500, 0.000)
Ir (0.500, 0.500, 0.500)
Ir (0.000, 0.500, 0.500)
I (0.500, 0.000, 0.000)
I (0.500, 0.000, 0.500)
I (0.000, 0.000, 0.000)
I (0.000, 0.000, 0.500)


(8)
A plane-wave DFT calculation with PBE was carried out for NdEr3H after structural relaxation.

Properties
Space-group type: Pm-3m
E_tot, eV per atom: -4.522
Volume, Å³ per cell: 123.85
M_tot, μB/atom: 0.000
N(E_F), states/eV per atom: 0.94

a b c (Å): 4.985 4.985 4.985
angles (deg): 90.00 90.00 90.00
Sites, in units of the cell vectors:
H (0.000, 0.000, 0.000)
Nd (0.500, 0.500, 0.500)
Er (0.000, 0.500, 0.000)
Er (0.000, 0.000, 0.500)
Er (0.500, 0.000, 0.000)